No. 1
Material: Ba2SrGaHg
Method: DFT, PBE
State: relaxed

Properties
The total energy comes out at -1.218 eV/atom. The density of states at the Fermi level comes out at 5.705 states/eV/f.u. The calculation puts the formation energy at 2.77 eV per formula unit. The symmetry is P4/mmm, No. 123.

Cell lengths 6.989, 5.722, 6.989 Å; angles 90.00, 90.00, 90.00 degrees
Sites, in units of the cell vectors:
Sr 0.000 0.000 0.000
Hg 0.000 0.500 0.000
Ba 0.500 0.000 0.000
Ba 0.000 0.000 0.500
Ga 0.500 0.500 0.500

---

No. 2
Material: Pd12Pb6Au
Method: DFT, PBE
State: relaxed

Properties
The total energy comes out at -4.817 eV/atom. The density of states at the Fermi level comes out at 7.477 states/eV/f.u. The calculation puts the formation energy at -3.68 eV per formula unit. The symmetry is R-3, No. 148.

Cell lengths 7.620, 7.620, 7.620 Å; angles 107.12, 107.12, 107.12 degrees
Sites, in units of the cell vectors:
Pb 0.095 0.467 0.215
Pb 0.785 0.905 0.533
Pb 0.533 0.785 0.905
Pb 0.215 0.095 0.467
Pb 0.905 0.533 0.785
Pb 0.467 0.215 0.095
Au 0.000 0.000 0.000
Pd 0.820 0.519 0.399
Pd 0.601 0.180 0.481
Pd 0.116 0.273 0.835
Pd 0.481 0.601 0.180
Pd 0.727 0.165 0.884
Pd 0.165 0.884 0.727
Pd 0.180 0.481 0.601
Pd 0.399 0.820 0.519
Pd 0.273 0.835 0.116
Pd 0.884 0.727 0.165
Pd 0.835 0.116 0.273
Pd 0.519 0.399 0.820

---

No. 3
Material: La2HgHAu
Method: DFT, PBE
State: relaxed

Properties
The total energy comes out at -3.870 eV/atom. The density of states at the Fermi level comes out at 4.053 states/eV/f.u. The symmetry is P4/mmm, No. 123.

Cell lengths 5.267, 5.267, 4.136 Å; angles 90.00, 90.00, 90.00 degrees
Last column: magnetic moment on the atom in μB.
Sites, in units of the cell vectors:
La 0.500 0.000 0.000  0.11
La 0.000 0.500 0.000  0.11
H 0.000 0.000 0.000  0.00
Au 0.000 0.000 0.500  0.01
Hg 0.500 0.500 0.500  0.00

---

No. 4
Material: Zr6Pt3O
Method: DFT, PBE
State: relaxed

Properties
The total energy comes out at -8.504 eV/atom. The density of states at the Fermi level comes out at 8.146 states/eV/f.u. The symmetry is P2_1/c, No. 14. The formation energy without anion corrections comes out at -1.067 eV/atom.

Cell lengths 5.861, 7.268, 9.108 Å; angles 90.00, 87.17, 90.00 degrees
Sites, in units of the cell vectors:
Pt 0.000 0.000 0.500
Pt 0.500 0.500 0.000
Pt 0.089 0.608 0.223
Pt 0.911 0.392 0.777
Pt 0.589 0.892 0.723
Pt 0.411 0.108 0.277
Zr 0.367 0.786 0.435
Zr 0.661 0.147 0.947
Zr 0.839 0.647 0.553
Zr 0.837 0.954 0.235
Zr 0.161 0.353 0.447
Zr 0.339 0.853 0.053
Zr 0.133 0.286 0.065
Zr 0.163 0.046 0.765
Zr 0.663 0.454 0.265
Zr 0.337 0.546 0.735
Zr 0.633 0.214 0.565
Zr 0.867 0.714 0.935
O 0.000 0.000 0.000
O 0.500 0.500 0.500

---

No. 5
Material: KRbOsBr2
Method: DFT, PBE
State: relaxed

Properties
The total energy comes out at -3.024 eV/atom. The density of states at the Fermi level comes out at 4.410 states/eV/f.u. The symmetry is P4/mmm, No. 123. The formation energy without anion corrections comes out at 0.304 eV/atom.

Cell lengths 5.425, 5.611, 5.425 Å; angles 90.00, 90.00, 90.00 degrees
Last column: magnetic moment on the atom in μB.
Sites, in units of the cell vectors:
K 0.500 0.500 0.500  0.00
Br 0.500 0.000 0.000  0.01
Br 0.000 0.000 0.500  0.03
Os 0.000 0.000 0.000  1.01
Rb 0.000 0.500 0.000  0.01

---

No. 6
Material: Dy2ErGa2Rh5
Method: DFT, PBE
State: relaxed

Properties
The total energy comes out at -6.508 eV/atom. The density of states at the Fermi level comes out at 5.244 states/eV/f.u. The calculation puts the formation energy at -8.51 eV per formula unit. The symmetry is P4/mbm, No. 127.

Cell lengths 3.589, 10.011, 10.011 Å; angles 90.00, 90.00, 90.00 degrees
Sites, in units of the cell vectors:
Rh 0.500 0.571 0.711
Rh 0.500 0.789 0.929
Rh 0.500 0.289 0.571
Rh 0.500 0.500 0.000
Rh 0.500 0.429 0.289
Rh 0.500 0.000 0.500
Rh 0.500 0.711 0.429
Rh 0.500 0.929 0.211
Rh 0.500 0.211 0.071
Rh 0.500 0.071 0.789
Ga 0.000 0.877 0.377
Ga 0.000 0.623 0.877
Ga 0.000 0.377 0.123
Ga 0.000 0.123 0.623
Dy 0.000 0.173 0.327
Dy 0.000 0.827 0.673
Dy 0.000 0.673 0.173
Dy 0.000 0.327 0.827
Er 0.000 0.500 0.500
Er 0.000 0.000 0.000

---

No. 7
Material: CeHoTmPa
Method: DFT, PBE
State: relaxed

Properties
The total energy comes out at -5.763 eV/atom. The density of states at the Fermi level comes out at 11.094 states/eV/f.u. The calculation puts the formation energy at 1.43 eV per formula unit. The symmetry is F-43m, No. 216.

Cell lengths 5.498, 5.498, 5.498 Å; angles 60.00, 60.00, 60.00 degrees
Last column: magnetic moment on the atom in μB.
Sites, in units of the cell vectors:
Pa 0.750 0.750 0.750  1.47
Ce 0.500 0.500 0.500  1.07
Ho 0.000 0.000 0.000  0.46
Tm 0.250 0.250 0.250  0.42

---

No. 8
Material: DyY5Mg4
Method: DFT, PBE
State: relaxed

Properties
The total energy comes out at -4.401 eV/atom. The density of states at the Fermi level comes out at 16.593 states/eV/f.u. The calculation puts the formation energy at -0.71 eV per formula unit. The symmetry is P4/mmm, No. 123.

Cell lengths 3.739, 3.739, 20.355 Å; angles 90.00, 90.00, 90.00 degrees
Sites, in units of the cell vectors:
Mg 0.000 0.000 0.404
Mg 0.000 0.000 0.215
Mg 0.000 0.000 0.785
Mg 0.000 0.000 0.596
Y 0.500 0.500 0.500
Y 0.500 0.500 0.690
Y 0.500 0.500 0.310
Y 0.500 0.500 0.118
Y 0.500 0.500 0.882
Dy 0.000 0.000 0.000

---

No. 9
Material: Ce2GeBr
Method: DFT, PBE
State: relaxed

Properties
The total energy comes out at -5.401 eV/atom. The density of states at the Fermi level comes out at 9.055 states/eV/f.u. The calculation puts the relative energy among the computed polymorphs at 154 meV/atom. The symmetry is Fmm2, No. 42. The formation energy without anion corrections comes out at -0.861 eV/atom.

Cell lengths 4.505, 4.505, 10.971 Å; angles 101.86, 101.86, 89.95 degrees
Last column: magnetic moment on the atom in μB.
Sites, in units of the cell vectors:
Ge 0.907 0.907 0.803  -0.03
Ge 0.104 0.104 0.197  -0.03
Ce 0.512 0.983 0.000  0.14
Ce 0.648 0.648 0.301  0.88
Ce 0.347 0.347 0.699  0.88
Ce 0.983 0.512 0.000  0.14
Br 0.249 0.749 0.500  -0.01
Br 0.749 0.249 0.500  -0.01

---

No. 10
Material: ZrPt3
Method: DFT, PBE
State: relaxed

Properties
The total energy comes out at -7.713 eV/atom. The density of states at the Fermi level comes out at 0.275 states/eV/f.u. The calculation puts the formation energy at -4.18 eV per formula unit. The symmetry is P6_3/mmc, No. 194.

Cell lengths 5.731, 5.731, 9.375 Å; angles 90.00, 90.00, 120.00 degrees
Sites, in units of the cell vectors:
Pt 0.830 0.660 0.250
Pt 0.500 0.000 0.500
Pt 0.500 0.000 0.000
Pt 0.000 0.500 0.500
Pt 0.000 0.500 0.000
Pt 0.340 0.170 0.250
Pt 0.660 0.830 0.750
Pt 0.170 0.340 0.750
Pt 0.500 0.500 0.000
Pt 0.830 0.170 0.250
Pt 0.170 0.830 0.750
Pt 0.500 0.500 0.500
Zr 0.000 0.000 0.000
Zr 0.667 0.333 0.750
Zr 0.333 0.667 0.250
Zr 0.000 0.000 0.500

---

No. 11
Material: Co3RuCl
Method: DFT, PBE
State: relaxed

Properties
The total energy comes out at -5.498 eV/atom. The density of states at the Fermi level comes out at 7.858 states/eV/f.u. The calculation puts the relative energy among the computed polymorphs at 0 meV/atom. The symmetry is Pm-3m, No. 221. The formation energy without anion corrections comes out at 0.990 eV/atom.

Cell lengths 4.094, 4.094, 4.094 Å; angles 90.00, 90.00, 90.00 degrees
Last column: magnetic moment on the atom in μB.
Sites, in units of the cell vectors:
Co 0.500 0.000 0.000  1.54
Co 0.000 0.000 0.500  1.06
Co 0.000 0.500 0.000  1.31
Cl 0.000 0.000 0.000  0.03
Ru 0.500 0.500 0.500  2.00

---

No. 12
Material: Ti7Ga5As
Method: DFT, PBE
State: relaxed

Properties
The total energy comes out at -6.016 eV/atom. The density of states at the Fermi level comes out at 12.896 states/eV/f.u. The calculation puts the formation energy at -3.16 eV per formula unit. The symmetry is Imm2, No. 44.

Cell lengths 5.118, 7.051, 7.051 Å; angles 80.97, 68.72, 68.72 degrees
Last column: magnetic moment on the atom in μB.
Sites, in units of the cell vectors:
Ga 0.006 0.994 0.499  0.00
Ga 0.006 0.499 0.994  0.00
Ga 0.500 0.499 0.994  0.00
Ga 0.749 0.751 0.751  -0.01
Ga 0.500 0.994 0.499  0.00
Ti 0.633 0.367 0.367  0.38
Ti 0.008 0.340 0.644  -0.05
Ti 0.279 0.221 0.221  0.55
Ti 0.508 0.168 0.817  0.25
Ti 0.368 0.632 0.632  0.42
Ti 0.008 0.644 0.340  -0.05
Ti 0.508 0.817 0.168  0.25
As 0.926 0.074 0.074  -0.02

---

No. 13
Material: KHg3Bi3
Method: DFT, PBE
State: relaxed

Properties
The total energy comes out at -1.922 eV/atom. The density of states at the Fermi level comes out at 5.374 states/eV/f.u. The calculation puts the formation energy at 0.19 eV per formula unit. The symmetry is Pm-3n, No. 223.

Cell lengths 8.321, 8.321, 8.321 Å; angles 90.00, 90.00, 90.00 degrees
Sites, in units of the cell vectors:
Bi 0.000 0.750 0.500
Bi 0.000 0.250 0.500
Bi 0.500 0.000 0.750
Bi 0.250 0.500 0.000
Bi 0.750 0.500 0.000
Bi 0.500 0.000 0.250
Hg 0.750 0.000 0.500
Hg 0.500 0.750 0.000
Hg 0.000 0.500 0.250
Hg 0.000 0.500 0.750
Hg 0.250 0.000 0.500
Hg 0.500 0.250 0.000
K 0.000 0.000 0.000
K 0.500 0.500 0.500

---

No. 14
Material: GeTePd2
Method: DFT, PBE
State: relaxed

Properties
The total energy comes out at -4.767 eV/atom. The density of states at the Fermi level comes out at 2.367 states/eV/f.u. The calculation puts the relative energy among the computed polymorphs at 74 meV/atom. The symmetry is R3m, No. 160. The formation energy without anion corrections comes out at -0.231 eV/atom.

Cell lengths 4.161, 4.161, 5.858 Å; angles 69.20, 69.20, 60.00 degrees
Sites, in units of the cell vectors:
Pd 0.277 0.277 0.168
Pd 0.063 0.063 0.811
Ge 0.670 0.670 0.989
Te 0.489 0.489 0.532

---

No. 15
Material: Ce2TmZr
Method: DFT, PBE
State: relaxed

Properties
The total energy comes out at -6.105 eV/atom. The density of states at the Fermi level comes out at 10.351 states/eV/f.u. The calculation puts the formation energy at 0.47 eV per formula unit. The calculation puts the relative energy among the computed polymorphs at 4 meV/atom. The symmetry is R-3m, No. 166.

Cell lengths 3.355, 3.355, 11.284 Å; angles 81.45, 81.45, 60.00 degrees
Last column: magnetic moment on the atom in μB.
Sites, in units of the cell vectors:
Tm 0.500 0.500 0.500  0.01
Zr 0.000 0.000 0.000  0.00
Ce 0.747 0.747 0.758  0.13
Ce 0.253 0.253 0.242  0.13

---

No. 16
Material: CuIrW2
Method: DFT, PBE
State: relaxed

Properties
The total energy comes out at -9.642 eV/atom. The density of states at the Fermi level comes out at 3.169 states/eV/f.u. The calculation puts the formation energy at 0.29 eV per formula unit. The calculation puts the relative energy among the computed polymorphs at 43 meV/atom. The symmetry is C2/m, No. 12.

Cell lengths 6.038, 4.828, 2.730 Å; angles 89.78, 63.51, 119.95 degrees
Sites, in units of the cell vectors:
W 0.500 0.000 0.500
W 0.000 0.000 0.000
Ir 0.500 0.500 0.000
Cu 0.000 0.500 0.500

---

No. 17
Material: Ac4Nd5Tl
Method: DFT, PBE
State: relaxed

Properties
The total energy comes out at -4.319 eV/atom. The density of states at the Fermi level comes out at 14.503 states/eV/f.u. The calculation puts the formation energy at -0.55 eV per formula unit. The symmetry is P4/mmm, No. 123.

Cell lengths 3.855, 3.855, 25.284 Å; angles 90.00, 90.00, 90.00 degrees
Sites, in units of the cell vectors:
Tl 0.000 0.000 0.000
Nd 0.500 0.500 0.500
Nd 0.500 0.500 0.080
Nd 0.500 0.500 0.920
Nd 0.500 0.500 0.710
Nd 0.500 0.500 0.290
Ac 0.000 0.000 0.184
Ac 0.000 0.000 0.605
Ac 0.000 0.000 0.395
Ac 0.000 0.000 0.816

---

No. 18
Material: SrYSc2
Method: DFT, PBE
State: relaxed

Properties
The total energy comes out at -4.967 eV/atom. The density of states at the Fermi level comes out at 9.111 states/eV/f.u. The calculation puts the formation energy at 0.94 eV per formula unit. The calculation puts the relative energy among the computed polymorphs at 86 meV/atom. The symmetry is Pmmm, No. 47.

Cell lengths 4.597, 3.627, 8.619 Å; angles 65.08, 90.00, 90.00 degrees
Last column: magnetic moment on the atom in μB.
Sites, in units of the cell vectors:
Sr 0.500 0.250 0.250  0.03
Sc 0.000 0.455 0.546  0.17
Sc 0.000 0.045 0.954  0.17
Y 0.500 0.750 0.750  0.12

---

No. 19
Material: MnZn6Fe
Method: DFT, PBE
State: relaxed

Properties
The total energy comes out at -3.181 eV/atom. The density of states at the Fermi level comes out at 3.464 states/eV/f.u. The calculation puts the formation energy at -0.17 eV per formula unit. The calculation puts the relative energy among the computed polymorphs at 0 meV/atom. The symmetry is P4/mmm, No. 123.

Cell lengths 3.787, 5.359, 5.359 Å; angles 89.98, 90.00, 90.00 degrees
Last column: magnetic moment on the atom in μB.
Sites, in units of the cell vectors:
Mn 0.500 0.000 0.000  3.00
Zn 0.000 0.252 0.252  -0.06
Zn 0.000 0.748 0.252  -0.06
Zn 0.000 0.748 0.748  -0.06
Zn 0.500 0.500 0.000  -0.06
Zn 0.500 0.000 0.500  -0.06
Zn 0.000 0.252 0.748  -0.06
Fe 0.500 0.500 0.500  2.16

---

No. 20
Material: Ti2Be9Fe
Method: DFT, PBE
State: relaxed

Properties
The total energy comes out at -4.925 eV/atom. The density of states at the Fermi level comes out at 4.160 states/eV/f.u. The calculation puts the formation energy at -1.31 eV per formula unit. The symmetry is R-3m, No. 166.

Cell lengths 4.380, 4.380, 7.449 Å; angles 72.90, 72.90, 60.00 degrees
Last column: magnetic moment on the atom in μB.
Sites, in units of the cell vectors:
Be 0.420 0.920 0.241  0.00
Be 0.500 0.500 0.500  -0.03
Be 0.920 0.420 0.241  0.00
Be 0.334 0.334 0.998  -0.02
Be 0.666 0.666 0.002  -0.02
Be 0.580 0.580 0.759  0.00
Be 0.080 0.580 0.759  0.00
Be 0.580 0.080 0.759  0.00
Be 0.420 0.420 0.241  0.00
Fe 0.000 0.000 0.000  1.69
Ti 0.856 0.856 0.432  0.75
Ti 0.144 0.144 0.568  0.75

---

No. 21
Material: TeBrN2F
Method: DFT, PBE
State: relaxed

Properties
The total energy comes out at -2.833 eV/atom. The density of states at the Fermi level comes out at 2.606 states/eV/f.u. The calculation puts the relative energy among the computed polymorphs at 785 meV/atom. The symmetry is P4/mmm, No. 123. The formation energy without anion corrections comes out at 1.834 eV/atom.

Cell lengths 4.881, 4.881, 4.341 Å; angles 90.00, 90.00, 90.00 degrees
Last column: magnetic moment on the atom in μB.
Sites, in units of the cell vectors:
F 0.000 0.000 0.000  0.13
N 0.000 0.500 0.000  1.80
N 0.500 0.000 0.000  1.80
Te 0.000 0.000 0.500  -0.16
Br 0.500 0.500 0.500  0.17

---

No. 22
Material: Ba3NiCl
Method: DFT, PBE
State: relaxed

Properties
The total energy comes out at -3.043 eV/atom. The density of states at the Fermi level comes out at 4.060 states/eV/f.u. The calculation puts the relative energy among the computed polymorphs at 0 meV/atom. The symmetry is Pm-3m, No. 221. The formation energy without anion corrections comes out at -0.363 eV/atom.

Cell lengths 6.088, 6.088, 6.088 Å; angles 90.00, 90.00, 90.00 degrees
Sites, in units of the cell vectors:
Ba 0.500 0.000 0.000
Ba 0.000 0.000 0.500
Ba 0.000 0.500 0.000
Ni 0.000 0.000 0.000
Cl 0.500 0.500 0.500

---

No. 23
Material: RbYSn2
Method: DFT, PBE
State: relaxed

Properties
The total energy comes out at -3.955 eV/atom. The density of states at the Fermi level comes out at 2.600 states/eV/f.u. The calculation puts the formation energy at -0.38 eV per formula unit. The calculation puts the relative energy among the computed polymorphs at 334 meV/atom. The symmetry is Fm-3m, No. 225.

Cell lengths 5.639, 5.639, 5.639 Å; angles 60.00, 60.00, 60.00 degrees
Sites, in units of the cell vectors:
Sn 0.250 0.250 0.250
Sn 0.750 0.750 0.750
Rb 0.000 0.000 0.000
Y 0.500 0.500 0.500